1.
First-principles (PBE-GGA) data for an optimized crystal structure of Tb5PrCu4, as listed in the Alexandria database.

Calculated values
- ΔE_f (eV per atom) = -0.186
- SG = P4/mmm (123)
- volume (Å³ per cell) = 236.4
- electronic total energy (Ry/atom) = -0.339

```
data_Tb5PrCu4
_symmetry_space_group_name_H-M 'P 1'
_symmetry_Int_Tables_number 1
_symmetry_space_group_name_Hall 'P 1'
_cell_length_a 3.4913
_cell_length_b 3.4913
_cell_length_c 19.3929
_cell_angle_alpha 90.00
_cell_angle_beta 90.00
_cell_angle_gamma 90.00
loop_
_atom_site_label
_atom_site_fract_x
_atom_site_fract_y
_atom_site_fract_z
_atom_site_occupancy
Cu1 0.0000 0.0000 0.4092 1
Cu2 0.0000 0.0000 0.7709 1
Cu3 0.0000 0.0000 0.2291 1
Cu4 0.0000 0.0000 0.5908 1
Tb1 0.5000 0.5000 0.8586 1
Tb2 0.5000 0.5000 0.6808 1
Tb3 0.5000 0.5000 0.5000 1
Tb4 0.5000 0.5000 0.1414 1
Tb5 0.5000 0.5000 0.3192 1
Pr1 0.0000 0.0000 0.0000 1
```

***

2.
First-principles (PBE-GGA) data for an optimized crystal structure of GaNi3B, as listed in the Alexandria database.

Calculated values
- ΔE_f (eV per atom) = -0.207
- SG = Pm-3m (221)
- volume (Å³ per cell) = 55.8
- electronic total energy (Ry/atom) = -0.413

```
data_GaNi3B
_symmetry_space_group_name_H-M 'P 1'
_symmetry_Int_Tables_number 1
_symmetry_space_group_name_Hall 'P 1'
_cell_length_a 3.8209
_cell_length_b 3.8209
_cell_length_c 3.8209
_cell_angle_alpha 90.00
_cell_angle_beta 90.00
_cell_angle_gamma 90.00
loop_
_atom_site_label
_atom_site_fract_x
_atom_site_fract_y
_atom_site_fract_z
_atom_site_occupancy
B1 0.0000 0.0000 0.0000 1
Ni1 0.5000 0.0000 0.0000 1
Ni2 0.0000 0.0000 0.5000 1
Ni3 0.0000 0.5000 0.0000 1
Ga1 0.5000 0.5000 0.5000 1
```